[1]
Crystalline Zr2TcSn at its relaxed geometry, computed with PBE-GGA.

## Properties
Calculated formation energy = -0.35 eV per atom
Spin magnetization = 0.00 μB/atom

Cell lengths 3.514, 3.514, 6.496 Å; angles 90.00, 90.00, 90.00 degrees
Space group P4/mmm (No. 123)
Unique sites:
1 Zr 0.000 0.000 0.231 [2 per cell]
2 Tc 0.500 0.500 0.000 [1 per cell]
3 Sn 0.500 0.500 0.500 [1 per cell]


[2]
Crystalline ZrTc3Sn at its relaxed geometry, computed with PBE-GGA.

## Properties
Calculated formation energy = 1.69 eV per atom
Spin magnetization = 0.70 μB/atom

Cell lengths 4.820, 4.820, 4.820 Å; angles 90.00, 90.00, 90.00 degrees
Space group Pm-3m (No. 221)
Unique sites:
1 Zr 0.000 0.000 0.000 [1 per cell]
2 Tc 0.000 0.000 0.500 [3 per cell]
3 Sn 0.500 0.500 0.500 [1 per cell]